{"formula": "VAg2O4", "functional": "PBE+U", "state": "optimized geometry", "cell": [[6.191, 0.000, 0.000], [0.000, 5.990, 0.000], [-0.542, 0.000, 6.215]], "species": ["V", "V", "Ag", "Ag", "Ag", "Ag", "O", "O", "O", "O", "O", "O", "O", "O"], "frac_coords": [[0.168, 0.250, 0.146], [0.832, 0.750, 0.854], [0.202, 0.750, 0.401], [0.385, 0.750, 0.927], [0.615, 0.250, 0.073], [0.798, 0.250, 0.599], [0.053, 0.750, 0.699], [0.085, 0.250, 0.884], [0.350, 0.015, 0.200], [0.350, 0.485, 0.200], [0.650, 0.515, 0.800], [0.650, 0.985, 0.800], [0.915, 0.750, 0.116], [0.947, 0.250, 0.301]], "spacegroup": "P2_1/m (11)", "n_ef_per_ev_fu": 4.67, "m_tot_mub_per_fu": 0.00, "de_polymorph_mev_per_atom": 4, "rho_g_cm3": 4.76}